Entry 1:
MgMn2Si after structural relaxation, computed with PBE.

Output
The crystal system is tetragonal. Its uncorrected formation energy is 0.0394 eV per atom.

Cell and atoms, written as CIF:
```
data_MgMn2Si
_cell_length_a 4.8533
_cell_length_b 4.8533
_cell_length_c 4.8533
_cell_angle_alpha 135.36
_cell_angle_beta 135.36
_cell_angle_gamma 64.98
_space_group_name_H-M_alt 'P 1'
_space_group_IT_number 1
loop_
_space_group_symop_operation_xyz
'x,y,z'
loop_
_atom_site_label
_atom_site_type_symbol
_atom_site_fract_x
_atom_site_fract_y
_atom_site_fract_z
Mn1 Mn 0.0000 0.0000 0.0000
Mn2 Mn 0.2500 0.7500 0.5000
Mg1 Mg 0.7500 0.2500 0.5000
Si1 Si 0.5000 0.5000 0.0000
```

=====

Entry 2:
LiCu4Ag after structural relaxation, computed with PBE.

Output
The crystal system is cubic. The value obtained for the formation energy is -33 meV per atom.

Cell and atoms, written as CIF:
```
data_LiCu4Ag
_cell_length_a 4.8980
_cell_length_b 4.8980
_cell_length_c 4.8980
_cell_angle_alpha 60.00
_cell_angle_beta 60.00
_cell_angle_gamma 60.00
_space_group_name_H-M_alt 'P 1'
_space_group_IT_number 1
loop_
_space_group_symop_operation_xyz
'x,y,z'
loop_
_atom_site_label
_atom_site_type_symbol
_atom_site_fract_x
_atom_site_fract_y
_atom_site_fract_z
Cu1 Cu 0.3751 0.3751 0.8747
Cu2 Cu 0.3751 0.8747 0.3751
Cu3 Cu 0.8747 0.3751 0.3751
Cu4 Cu 0.3751 0.3751 0.3751
Li1 Li 0.7500 0.7500 0.7500
Ag1 Ag 0.0000 0.0000 0.0000
```

=====

Entry 3:
Ba2CdInPb6 after structural relaxation, computed with PBE.

Output
The crystal system is trigonal. The value obtained for the formation energy is -144 meV per atom.

Cell and atoms, written as CIF:
```
data_Ba2CdInPb6
_cell_length_a 7.6418
_cell_length_b 7.6418
_cell_length_c 15.4413
_cell_angle_alpha 75.67
_cell_angle_beta 75.67
_cell_angle_gamma 60.00
_space_group_name_H-M_alt 'P 1'
_space_group_IT_number 1
loop_
_space_group_symop_operation_xyz
'x,y,z'
loop_
_atom_site_label
_atom_site_type_symbol
_atom_site_fract_x
_atom_site_fract_y
_atom_site_fract_z
Cd1 Cd 0.0000 0.0000 0.0000
Cd2 Cd 0.5000 0.5000 0.5000
In1 In 0.5728 0.5728 0.2816
In2 In 0.4272 0.4272 0.7184
Pb1 Pb 0.9297 0.3403 0.3898
Pb2 Pb 0.6545 0.2293 0.8869
Pb3 Pb 0.7707 0.3455 0.1131
Pb4 Pb 0.3403 0.9297 0.3898
Pb5 Pb 0.3403 0.3403 0.3898
Pb6 Pb 0.2293 0.6545 0.8869
Pb7 Pb 0.0703 0.6597 0.6102
Pb8 Pb 0.6597 0.6597 0.6102
Pb9 Pb 0.2293 0.2293 0.8869
Pb10 Pb 0.3455 0.7707 0.1131
Pb11 Pb 0.7707 0.7707 0.1131
Pb12 Pb 0.6597 0.0703 0.6102
Ba1 Ba 0.2896 0.2896 0.1311
Ba2 Ba 0.7104 0.7104 0.8689
Ba3 Ba 0.1214 0.1214 0.6359
Ba4 Ba 0.8786 0.8786 0.3641
```

=====

Entry 4:
BaBi6Pb after structural relaxation, computed with PBE.

Output
The crystal system is orthorhombic. The value obtained for the formation energy is -176 meV per atom.

Cell and atoms, written as CIF:
```
data_BaBi6Pb
_cell_length_a 5.7421
_cell_length_b 7.0371
_cell_length_c 7.0371
_cell_angle_alpha 93.32
_cell_angle_beta 90.00
_cell_angle_gamma 90.00
_space_group_name_H-M_alt 'P 1'
_space_group_IT_number 1
loop_
_space_group_symop_operation_xyz
'x,y,z'
loop_
_atom_site_label
_atom_site_type_symbol
_atom_site_fract_x
_atom_site_fract_y
_atom_site_fract_z
Bi1 Bi 0.0000 0.6053 0.3947
Bi2 Bi 0.0000 0.5889 0.9447
Bi3 Bi 0.5000 0.4302 0.1307
Bi4 Bi 0.0000 0.0553 0.4111
Bi5 Bi 0.5000 0.9711 0.0289
Bi6 Bi 0.5000 0.8693 0.5698
Pb1 Pb 0.0000 0.1129 0.8871
Ba1 Ba 0.5000 0.3668 0.6332
```

=====

Entry 5:
Ag6Te2SeBr after structural relaxation, computed with PBE.

Output
The crystal system is trigonal. Its uncorrected formation energy is -0.0585 eV per atom.

Cell and atoms, written as CIF:
```
data_Ag6Te2SeBr
_cell_length_a 7.0098
_cell_length_b 7.0114
_cell_length_c 7.0030
_cell_angle_alpha 59.95
_cell_angle_beta 59.95
_cell_angle_gamma 59.99
_space_group_name_H-M_alt 'P 1'
_space_group_IT_number 1
loop_
_space_group_symop_operation_xyz
'x,y,z'
loop_
_atom_site_label
_atom_site_type_symbol
_atom_site_fract_x
_atom_site_fract_y
_atom_site_fract_z
Te1 Te 0.5358 0.5359 0.3923
Te2 Te 0.0750 0.0748 0.7753
Ag1 Ag 0.9100 0.7043 0.1673
Ag2 Ag 0.7042 0.2183 0.1674
Ag3 Ag 0.2180 0.9103 0.1677
Ag4 Ag 0.6231 0.1315 0.8338
Ag5 Ag 0.1318 0.4115 0.8335
Ag6 Ag 0.4119 0.6230 0.8331
Se1 Se 0.2637 0.2641 0.2086
Br1 Br 0.7880 0.7880 0.6361
```

=====

Entry 6:
LiScPb after structural relaxation, computed with PBE.

Output
The crystal system is orthorhombic. The value obtained for the formation energy is -201 meV per atom.

Cell and atoms, written as CIF:
```
data_LiScPb
_cell_length_a 5.2632
_cell_length_b 5.2632
_cell_length_c 5.2632
_cell_angle_alpha 142.65
_cell_angle_beta 128.81
_cell_angle_gamma 65.05
_space_group_name_H-M_alt 'P 1'
_space_group_IT_number 1
loop_
_space_group_symop_operation_xyz
'x,y,z'
loop_
_atom_site_label
_atom_site_type_symbol
_atom_site_fract_x
_atom_site_fract_y
_atom_site_fract_z
Sc1 Sc 0.6685 0.6685 0.0000
Li1 Li 0.0014 0.0014 0.0000
Pb1 Pb 0.3301 0.3301 0.0000
```

=====

Entry 7:
La2Pr3N3 after structural relaxation, computed with PBE.

Output
The crystal system is monoclinic. Its uncorrected formation energy is -0.8615 eV per atom.

Cell and atoms, written as CIF:
```
data_La2Pr3N3
_cell_length_a 5.2116
_cell_length_b 6.5410
_cell_length_c 11.9852
_cell_angle_alpha 89.67
_cell_angle_beta 90.00
_cell_angle_gamma 113.48
_space_group_name_H-M_alt 'P 1'
_space_group_IT_number 1
loop_
_space_group_symop_operation_xyz
'x,y,z'
loop_
_atom_site_label
_atom_site_type_symbol
_atom_site_fract_x
_atom_site_fract_y
_atom_site_fract_z
N1 N 0.2258 0.4516 0.2500
N2 N 0.8425 0.6849 0.4459
N3 N 0.1573 0.3146 0.5578
N4 N 0.7726 0.5452 0.7492
N5 N 0.8409 0.6818 0.0569
N6 N 0.1537 0.3073 0.9435
Pr1 Pr 0.9417 0.8834 0.8791
Pr2 Pr 0.0570 0.1140 0.3803
Pr3 Pr 0.7438 0.4876 0.2498
Pr4 Pr 0.0539 0.1078 0.1220
Pr5 Pr 0.6637 0.3274 0.5687
Pr6 Pr 0.2507 0.5015 0.7499
La1 La 0.3359 0.6717 0.0695
La2 La 0.9432 0.8865 0.6222
La3 La 0.6596 0.3191 0.9303
La4 La 0.3377 0.6755 0.4290
```

=====

Entry 8:
LiLaPb after structural relaxation, computed with PBE.

Output
The crystal system is orthorhombic. The value obtained for the formation energy is -286 meV per atom.

Cell and atoms, written as CIF:
```
data_LiLaPb
_cell_length_a 5.6424
_cell_length_b 5.6424
_cell_length_c 5.6424
_cell_angle_alpha 141.92
_cell_angle_beta 128.05
_cell_angle_gamma 66.20
_space_group_name_H-M_alt 'P 1'
_space_group_IT_number 1
loop_
_space_group_symop_operation_xyz
'x,y,z'
loop_
_atom_site_label
_atom_site_type_symbol
_atom_site_fract_x
_atom_site_fract_y
_atom_site_fract_z
La1 La 0.0031 0.0031 0.0000
Li1 Li 0.3361 0.3361 0.0000
Pb1 Pb 0.6608 0.6608 0.0000
```

=====

DOS(E_F) for the records above, in order: 0.594 0.244 0.607 0.479 0.810 0.549 0.703 0.568 states/eV/atom
VASP energy for the records above, in order: -6.300 -3.558 -3.119 -3.791 -2.913 -4.186 -7.008 -3.802 eV per atom